A plane-wave DFT calculation with PBE was carried out for an optimized crystal structure of PuSeBr.

Total moment   10.00 μB per cell
Relative energy among the computed polymorphs   0.00 kcal/mol of atoms
Raw total energy   -48.1 eV per cell
ΔE_f (raw)   -1519 meV per atom

Geometry as CIF:
```
data_PuSeBr
_chemical_formula_sum 'Pu2 Se2 Br2'
_space_group_name_H-M_alt 'P m m n'
_space_group_IT_number 59
_cell_length_a 4.2361
_cell_length_b 5.6482
_cell_length_c 8.8096
_cell_angle_alpha 90.00
_cell_angle_beta 90.00
_cell_angle_gamma 90.00
loop_
_space_group_symop_operation_xyz
'x,y,z'
'-x,-y,-z'
'-x+1/2,-y+1/2,z'
'x+1/2,y+1/2,-z'
'x+1/2,-y,-z'
'-x+1/2,y,z'
'-x,y+1/2,-z'
'x,-y+1/2,z'
loop_
_atom_site_label
_atom_site_type_symbol
_atom_site_fract_x
_atom_site_fract_y
_atom_site_fract_z
Pu1 Pu 0.2500 0.2500 0.1395
Se1 Se 0.2500 0.7500 0.0853
Br1 Br 0.2500 0.7500 0.6389
```

---

A plane-wave DFT calculation with PBE was carried out for an optimized crystal structure of PuSeBr.

Total moment   0.37 μB per cell
Relative energy among the computed polymorphs   4.86 kcal/mol of atoms
Raw total energy   -140.5 eV per cell
ΔE_f (raw)   -1308 meV per atom

Geometry as CIF:
```
data_PuSeBr
_chemical_formula_sum 'Pu6 Se6 Br6'
_space_group_name_H-M_alt 'R 3 m'
_space_group_IT_number 160
_space_group_name_Hall 'R 3 -2"'
_cell_length_a 4.9832
_cell_length_b 4.9832
_cell_length_c 25.5327
_cell_angle_alpha 90.00
_cell_angle_beta 90.00
_cell_angle_gamma 120.00
loop_
_atom_site_label
_atom_site_type_symbol
_atom_site_fract_x
_atom_site_fract_y
_atom_site_fract_z
Pu1 Pu 0.0000 0.0000 0.0000
Pu2 Pu 0.0000 0.0000 0.2283
Se1 Se 0.0000 0.0000 0.3461
Se2 Se 0.0000 0.0000 0.6086
Br1 Br 0.0000 0.0000 0.1120
Br2 Br 0.0000 0.0000 0.8643
```

---

A plane-wave DFT calculation with PBE was carried out for an optimized crystal structure of PuSeBr.

Total moment   20.00 μB per cell
Relative energy among the computed polymorphs   2.16 kcal/mol of atoms
Raw total energy   -95.1 eV per cell
ΔE_f (raw)   -1426 meV per atom

Geometry as CIF:
```
data_PuSeBr
_chemical_formula_sum 'Pu4 Se4 Br4'
_space_group_name_H-M_alt 'P 1 21/c 1'
_space_group_IT_number 14
_space_group_name_Hall '-P 2ybc'
_cell_length_a 7.2033
_cell_length_b 8.4833
_cell_length_c 7.3855
_cell_angle_alpha 90.00
_cell_angle_beta 111.58
_cell_angle_gamma 90.00
loop_
_atom_site_label
_atom_site_type_symbol
_atom_site_fract_x
_atom_site_fract_y
_atom_site_fract_z
Pu1 Pu 0.0021 0.1258 0.2404
Se1 Se 0.2166 0.1280 0.9890
Br1 Br 0.2454 0.6208 0.0088
```